DFT (PBE+U) results for a relaxed BaNp2NiO8 crystal.

Output
- Uncorrected energy: -93.20 eV/cell
- Symmetry: No. 119

Cell: 6.4672 6.4672 6.4672 Å, 110.67 110.67 107.09°
With the nearest neighbours (Å) after each atom.
Positions (direct):
Ba  0.0000  0.0000  0.0000  4 O 2.51
Np  0.5000  0.5000  0.0000  4 O 2.01
Np  0.7500  0.2500  0.5000  4 O 1.91
Ni  0.2500  0.7500  0.5000  4 O 2.25
O  0.3258  0.1216  0.7959  1 Np 2.01, 1 Ni 2.25
O  0.3258  0.5299  0.2041  1 Np 2.01, 1 Ni 2.25
O  0.3930  0.0576  0.3354  1 Np 1.91
O  0.4701  0.6742  0.7959  1 Np 2.01, 1 Ni 2.25
O  0.7223  0.0576  0.6646  1 Np 1.91
O  0.8784  0.6742  0.2041  1 Np 2.01, 1 Ni 2.25
O  0.9424  0.2777  0.3354  1 Np 1.91
O  0.9424  0.6070  0.6646  1 Np 1.91